This record from Alexandria via LeMat-Bulk describes a geometry-optimized TbZn4Ni structure. The functional is PBE-GGA.

```
TbZn4Ni
1.0
5.1704 0.0000 0.0000
2.5852 4.4777 0.0000
2.5852 1.4926 4.2216
Zn Ni Tb
4 1 1
Direct
0.6261 0.1218 0.6261
0.6261 0.6261 0.1218
0.6261 0.6261 0.6261
0.1218 0.6261 0.6261
0.0000 0.0000 0.0000
0.2500 0.2500 0.2500
```

## Properties
Polymorph energy (0 for the lowest one): 0.133 eV/atom
Energy of formation: -0.18 eV/atom
Magnetization: 0.001 μB per formula unit

This record from Alexandria via LeMat-Bulk describes a geometry-optimized CsPS2F structure. The functional is PBE-GGA.

```
CsPS2F
1.0
5.9202 0.0000 0.0000
0.0000 5.9202 0.0000
0.0000 0.0000 6.4140
F S Cs P
1 2 1 1
Direct
0.5000 0.5000 0.5000
0.0000 0.5000 0.0000
0.5000 0.0000 0.0000
0.0000 0.0000 0.0000
0.0000 0.0000 0.5000
```

## Properties
Uncorrected formation energy: 1374 meV/atom
Polymorph energy (0 for the lowest one): 1.140 eV/atom
Magnetization: 6.709 μB per formula unit

This record from Alexandria via LeMat-Bulk describes a geometry-optimized ThNi3Ge2 structure. The functional is PBE-GGA.

```
ThNi3Ge2
1.0
3.9863 0.0000 0.0000
-1.9932 7.6458 0.2169
0.0000 -3.2430 6.2539
Ni Th Ge
6 2 4
Direct
0.5926 0.1851 0.6649
0.0306 0.0611 0.3679
0.9694 0.9389 0.6321
0.4074 0.8149 0.3351
0.6872 0.3744 0.4468
0.3128 0.6256 0.5532
0.8467 0.6934 0.9242
0.1533 0.3066 0.0758
0.1852 0.3703 0.6658
0.5226 0.0452 0.1949
0.8148 0.6297 0.3342
0.4774 0.9548 0.8051
```

## Properties
Energy of formation: -0.55 eV/atom
Magnetization: 0.000 μB per formula unit

This record from Alexandria via LeMat-Bulk describes a geometry-optimized Li2SbRh2 structure. The functional is PBE-GGA.

```
Li2SbRh2
1.0
-2.6349 -3.0870 2.8182
0.7240 -4.8432 0.6587
1.4513 -2.2983 4.1263
Li Sb Rh
2 1 2
Direct
0.5855 0.5855 0.5855
0.4145 0.4145 0.4145
0.0000 0.0000 0.0000
0.7826 0.7826 0.7826
0.2174 0.2174 0.2174
```

## Properties
Uncorrected formation energy: -281 meV/atom
Polymorph energy (0 for the lowest one): 0.026 eV/atom
Magnetization: 0.000 μB per formula unit

Repeat the second record exactly.
This record from Alexandria via LeMat-Bulk describes a geometry-optimized CsPS2F structure. The functional is PBE-GGA.

```
CsPS2F
1.0
5.9202 0.0000 0.0000
0.0000 5.9202 0.0000
0.0000 0.0000 6.4140
F S Cs P
1 2 1 1
Direct
0.5000 0.5000 0.5000
0.0000 0.5000 0.0000
0.5000 0.0000 0.0000
0.0000 0.0000 0.0000
0.0000 0.0000 0.5000
```

## Properties
Uncorrected formation energy: 1374 meV/atom
Polymorph energy (0 for the lowest one): 1.140 eV/atom
Magnetization: 6.709 μB per formula unit